Entry from Alexandria via LeMat-Bulk: a relaxed CaPr2TiO6 crystal (PBE).

Output
The formation energy without anion corrections is -3.10 eV per atom. The electronic total energy comes out at -8.018 eV per atom. The mass density is 4990 kg/m³.

Lattice parameters (Å, degrees): 5.4861 5.4861 5.1493 90.00 90.00 90.00
Atoms (fractional coordinates):
Ca 0.0000 0.0000 0.0000
Pr 0.0000 0.5000 0.4298
Pr 0.5000 0.0000 0.4298
Ti 0.5000 0.5000 0.0316
O 0.0000 0.0000 0.5712
O 0.2679 0.2679 0.1650
O 0.2679 0.7321 0.1650
O 0.5000 0.5000 0.6754
O 0.7321 0.2679 0.1650
O 0.7321 0.7321 0.1650